Compound: CaGa2Pd2
Source: Alexandria via LeMat-Bulk
Functional: GGA-PBE
Structure: relaxed

Cell lengths 4.2381, 4.2381, 6.1307 Å; angles 69.78, 69.78, 90.00 degrees
With the nearest neighbours (Å) after each atom.
Element x y z (fractional)
Ca 0.0000 0.0000 0.0000  8 Ga 3.26, 8 Pd 3.41
Ga 0.3796 0.3796 0.2408  4 Pd 2.53, 1 Ga 2.58
Ga 0.6204 0.6204 0.7592  4 Pd 2.53, 1 Ga 2.58
Pd 0.7500 0.2500 0.5000  4 Ga 2.53
Pd 0.2500 0.7500 0.5000  4 Ga 2.53

Properties
Its formation energy is -69.1 kJ per mole of atoms. The value obtained for the raw total energy is -22.0 eV per cell. As for the crystal system: tetragonal.